Material: Sm2Ge4IrPt3
Method: DFT, PBE
State: optimized geometry

Its density is 12.066 g/cm3. Its total magnetic moment is 0.000 μB/atom. For the formation enthalpy at 0 K, the calculation gives -0.88 eV/atom. As for the total energy: -6.3728 eV/atom.

The structure belongs to space group P-4m2 (No. 115); the cell edges are 4.191, 4.191 and 10.725 Å and the angles 90.00°, 90.00° and 90.00°. The distinct sites, in fractional coordinates, are Sm at (0.000, 0.500, 0.246), Ge at (0.000, 0.000, 0.500), Ge at (0.000, 0.500, 0.865), Ge at (0.500, 0.500, 0.500), Ir at (0.500, 0.500, 0.000), Pt at (0.000, 0.000, 0.000) and Pt at (0.000, 0.500, 0.637).